Entry 1:
Density functional theory data (PBE) for Ta2As2Pd after structural relaxation.

The structure in POSCAR format:
```
Ta2As2Pd
1.0
7.164 0.000 0.000
0.000 7.164 0.000
0.000 0.000 3.309
As Pd Ta
4 2 4
direct
0.650 0.150 0.000
0.350 0.850 0.000
0.850 0.650 0.000
0.150 0.350 0.000
0.500 0.500 0.000
0.000 0.000 0.000
0.857 0.357 0.500
0.357 0.143 0.500
0.643 0.857 0.500
0.143 0.643 0.500
```

Values from the calculation:
**E above lowest polymorph**: 0.00 eV per formula unit
**Space-group type**: P4/mbm
**N(E_F)**: 3.562 states/eV per cell
**Crystal system**: tetragonal

Entry 2:
Density functional theory data (PBE) for TaAsPd2 after structural relaxation.

The structure in POSCAR format:
```
TaAsPd2
1.0
-3.220 0.838 1.865
-1.065 -3.657 -0.194
2.181 -3.104 9.063
As Pd Ta
2 4 2
direct
0.500 0.500 0.000
0.250 0.750 0.500
0.128 0.625 0.250
0.375 0.378 0.750
0.622 0.125 0.250
0.875 0.872 0.750
0.000 0.000 0.000
0.750 0.250 0.500
```

Values from the calculation:
**Space-group type**: I-42d
**N(E_F)**: 5.623 states/eV per cell
**Crystal system**: tetragonal

Entry 3:
Density functional theory data (PBE) for TaAs3Pd after structural relaxation.

The structure in POSCAR format:
```
TaAs3Pd
1.0
-4.218 -0.359 -2.193
-1.674 -2.580 3.642
-1.461 3.992 2.157
Pd As Ta
1 3 1
direct
0.000 0.000 0.000
0.000 0.500 0.000
0.000 0.000 0.500
0.500 0.000 0.000
0.500 0.500 0.500
```

Values from the calculation:
**E above lowest polymorph**: 2.35 eV per formula unit
**Space-group type**: Pm-3m
**N(E_F)**: 6.955 states/eV per cell
**Crystal system**: cubic

For each record above, in turn, the calculated ΔH_f (0 K) values are -0.26, -0.09, 0.96 eV/atom.